Density functional theory data (PBE) for an optimized crystal structure of Li2InHg2.

abc: 7.9599 7.9599 3.2368
angles: 90.00 90.00 90.00
Positions (direct):
Hg (0.8633, 0.6367, 0.0000)
Li (0.8396, 0.3396, 0.5000)
Li (0.3396, 0.1604, 0.5000)
Li (0.1604, 0.6604, 0.5000)
In (0.0000, 0.0000, 0.0000)
Hg (0.3633, 0.8633, 0.0000)
In (0.5000, 0.5000, 0.0000)
Hg (0.1367, 0.3633, 0.0000)
Li (0.6604, 0.8396, 0.5000)
Hg (0.6367, 0.1367, 0.0000)

Output
E above lowest polymorph ... 0.000 eV per atom
Space-group type ... No. 127

***

Density functional theory data (PBE) for an optimized crystal structure of Li8In3Hg2.

abc: 4.6520 7.2477 8.1283
angles: 110.68 90.00 90.00
Positions (direct):
In (0.0000, 0.7171, 0.0664)
Li (0.4999, 0.8739, 0.3050)
Li (0.4999, 0.4392, 0.1529)
Li (0.5001, 0.5608, 0.8471)
In (0.0000, 0.2829, 0.9336)
Li (0.0000, 0.1370, 0.2374)
Li (0.0000, 0.8630, 0.7626)
Li (0.9999, 0.5960, 0.3640)
Hg (0.4999, 0.7168, 0.5713)
Li (0.5001, 0.1261, 0.6950)
Hg (0.5001, 0.2832, 0.4287)
In (0.5000, 0.0000, 0.0000)
Li (0.0001, 0.4040, 0.6360)

Output
E above lowest polymorph ... 0.000 eV per atom
Space-group type ... No. 10

***

Density functional theory data (PBE) for an optimized crystal structure of LiInHg3.

abc: 4.6816 4.7524 10.6246
angles: 88.97 80.29 89.64
Positions (direct):
Hg (0.9615, 0.3468, 0.8069)
In (0.8670, 0.8420, 0.0012)
Li (0.3621, 0.3396, 0.0066)
Hg (0.6472, 0.8501, 0.4226)
Hg (0.4497, 0.8418, 0.8076)
Li (0.0486, 0.8492, 0.6080)
In (0.5442, 0.3464, 0.6132)
Hg (0.1366, 0.3481, 0.4134)
Hg (0.7640, 0.3388, 0.1920)
Hg (0.2746, 0.8412, 0.2012)

Output
E above lowest polymorph ... 0.000 eV per atom
Space-group type ... No. 2

***

Density functional theory data (PBE) for an optimized crystal structure of Li2InHg.

abc: 9.4200 9.4200 9.4200
angles: 19.87 19.87 19.87
Positions (direct):
In (0.7500, 0.7500, 0.7500)
Hg (0.2500, 0.2500, 0.2500)
Li (0.0002, 0.0002, 0.0002)
Li (0.4998, 0.4998, 0.4998)

Output
Space-group type ... No. 166

***

Density functional theory data (PBE) for an optimized crystal structure of Li4In2Hg5.

abc: 4.9989 5.5227 8.7565
angles: 83.37 106.59 90.00
Positions (direct):
Hg (0.2201, 0.6542, 0.4402)
Li (0.9539, 0.2681, 0.9077)
In (0.5964, 0.4650, 0.1927)
In (0.4036, 0.5350, 0.8073)
Hg (0.8741, 0.8389, 0.7483)
Hg (0.7799, 0.3458, 0.5598)
Li (0.3109, 0.0849, 0.6218)
Li (0.0461, 0.7319, 0.0923)
Hg (0.1259, 0.1611, 0.2517)
Hg (0.5000, 0.0000, 0.0000)
Li (0.6891, 0.9151, 0.3782)

Output
Space-group type ... No. 12

***

Density functional theory data (PBE) for an optimized crystal structure of Li7In2Hg2.

abc: 6.3782 6.2973 6.3782
angles: 90.06 105.37 89.94
Positions (direct):
In (0.8196, 0.5000, 0.8196)
Li (0.4999, 0.2768, 0.5001)
Li (0.5004, 0.2873, 0.0002)
Li (0.0000, 0.0000, 0.0000)
In (0.1804, 0.5000, 0.1804)
Li (0.4996, 0.7127, 0.9998)
Li (0.9998, 0.2873, 0.4996)
Li (0.5001, 0.7232, 0.4999)
Hg (0.7143, 0.9997, 0.2858)
Hg (0.2858, 0.0003, 0.7143)
Li (0.0002, 0.7127, 0.5004)

Output
Space-group type ... No. 12

***

Density functional theory data (PBE) for an optimized crystal structure of Li8In3Hg2.

abc: 5.3587 5.3587 10.6981
angles: 75.50 75.50 60.00
Positions (direct):
In (0.1854, 0.1854, 0.4438)
Hg (0.6313, 0.6313, 0.1062)
Hg (0.3687, 0.3687, 0.8938)
In (0.0000, 0.0000, 0.0000)
Li (0.7290, 0.7290, 0.3186)
Li (0.7202, 0.7202, 0.8394)
Li (0.2710, 0.2710, 0.6814)
In (0.8146, 0.8146, 0.5562)
Li (0.7767, 0.2710, 0.6814)
Li (0.2798, 0.2798, 0.1606)
Li (0.2710, 0.7767, 0.6814)
Li (0.2233, 0.7290, 0.3186)
Li (0.7290, 0.2233, 0.3186)

Output
E above lowest polymorph ... 0.054 eV per atom
Space-group type ... No. 166

***

Density functional theory data (PBE) for an optimized crystal structure of Li3In2Hg4.

abc: 4.8949 4.8885 9.2400
angles: 90.03 90.00 120.04
Positions (direct):
Hg (0.0003, 0.0006, 0.2979)
Li (0.0000, 0.0000, 0.0000)
Li (0.3340, 0.6681, 0.2252)
In (0.6668, 0.3335, 0.4278)
Hg (0.3331, 0.6663, 0.9142)
In (0.3332, 0.6665, 0.5722)
Hg (0.6669, 0.3337, 0.0858)
Hg (0.9997, 0.9994, 0.7021)
Li (0.6660, 0.3319, 0.7748)

Output
Space-group type ... No. 12

***

Density functional theory data (PBE) for an optimized crystal structure of Li2In5Hg12.

abc: 8.4244 10.3172 7.3467
angles: 119.94 90.00 114.10
Positions (direct):
Li (0.7086, 0.0000, 0.0000)
In (0.7474, 0.4947, 0.9055)
In (0.2526, 0.5053, 0.0945)
In (0.3251, 0.6502, 0.7683)
Hg (0.5327, 0.0654, 0.3500)
Hg (0.3563, 0.2179, 0.8520)
Hg (0.9020, 0.8041, 0.8226)
Hg (0.8616, 0.2179, 0.8520)
Hg (0.0980, 0.1959, 0.1774)
Li (0.2914, 0.0000, 0.0000)
Hg (0.6437, 0.7821, 0.1480)
In (0.0000, 0.0000, 0.5000)
In (0.6749, 0.3498, 0.2317)
Hg (0.1384, 0.7821, 0.1480)
Hg (0.4673, 0.9346, 0.6500)
Hg (0.5902, 0.6522, 0.4547)
Hg (0.4098, 0.3478, 0.5453)
Hg (0.9379, 0.3478, 0.5453)
Hg (0.0621, 0.6522, 0.4547)

Output
E above lowest polymorph ... 0.002 eV per atom
Space-group type ... No. 12

***

Density functional theory data (PBE) for an optimized crystal structure of Li3InHg6.

abc: 6.5408 8.6416 8.6416
angles: 108.46 90.00 90.00
Positions (direct):
Hg (0.8188, 0.9310, 0.5611)
Li (0.9333, 0.0272, 0.2888)
Hg (0.1477, 0.7143, 0.2857)
Hg (0.6299, 0.2854, 0.3319)
Li (0.9333, 0.7112, 0.9728)
In (0.5881, 0.7742, 0.2258)
Li (0.4333, 0.2888, 0.0272)
Hg (0.3188, 0.5611, 0.9310)
Li (0.8292, 0.5809, 0.4191)
Li (0.3292, 0.4191, 0.5809)
In (0.0881, 0.2258, 0.7742)
Hg (0.6477, 0.2857, 0.7143)
Li (0.4333, 0.9728, 0.7112)
Hg (0.6564, 0.9941, 0.0059)
Hg (0.1299, 0.7146, 0.6681)
Hg (0.6299, 0.6681, 0.7146)
Hg (0.1299, 0.3319, 0.2854)
Hg (0.3188, 0.0690, 0.4389)
Hg (0.1564, 0.0059, 0.9941)
Hg (0.8188, 0.4389, 0.0690)

Output
E above lowest polymorph ... 0.070 eV per atom
Space-group type ... No. 36

***

Density functional theory data (PBE) for an optimized crystal structure of LiIn15Hg4.

abc: 4.6824 4.6824 23.6963
angles: 90.00 90.00 90.00
Positions (direct):
In (0.0000, 0.5000, 0.2965)
In (0.5000, 0.5000, 0.8056)
In (0.0000, 0.5000, 0.0928)
In (0.5000, 0.5000, 0.6011)
In (0.5000, 0.0000, 0.2965)
In (0.0000, 0.5000, 0.9072)
In (0.5000, 0.5000, 0.3989)
In (0.5000, 0.5000, 0.1944)
Hg (0.0000, 0.0000, 0.3986)
In (0.5000, 0.0000, 0.9072)
In (0.5000, 0.0000, 0.0928)
In (0.0000, 0.5000, 0.7035)
In (0.0000, 0.5000, 0.5000)
Hg (0.0000, 0.0000, 0.1925)
In (0.5000, 0.0000, 0.5000)
In (0.5000, 0.5000, 0.0000)
Hg (0.0000, 0.0000, 0.6014)
Li (0.0000, 0.0000, 0.0000)
Hg (0.0000, 0.0000, 0.8075)
In (0.5000, 0.0000, 0.7035)

Output
Space-group type ... No. 123

***

Density functional theory data (PBE) for an optimized crystal structure of LiIn2Hg2.

abc: 4.3951 4.3951 7.6680
angles: 73.35 73.35 90.00
Positions (direct):
In (0.6027, 0.6027, 0.7946)
Hg (0.7500, 0.2500, 0.5000)
Hg (0.2500, 0.7500, 0.5000)
In (0.3973, 0.3973, 0.2054)
Li (0.0000, 0.0000, 0.0000)

Output
E above lowest polymorph ... 0.156 eV per atom
Space-group type ... No. 139

***

So what do the calculations give for energy of formation from the pure elements? Going down the list: -0.28, -0.26, -0.14, -0.20, -0.25, -0.11, -0.20, -0.26, -0.05, -0.16, -0.02, 0.04 eV/atom.
So what do the calculations give for M_tot? Going down the list: 0.00, 0.00, 0.00, 0.00, 0.00, 0.00, 0.00, 0.00, 0.00, 0.00, 0.00, 0.00 μB per atom.